No. 1
Entry from the Alexandria database: an optimized crystal structure of Ce3NpP4 (PBE).

Properties
* DFT total energy: -63.00 eV for the cell shown

Unit cell a=5.7374 b=5.7374 c=5.7374 alpha=90.00 beta=90.00 gamma=90.00
Atoms (fractional coordinates):
Ce 0.0000 0.0000 0.5000
Ce 0.0000 0.5000 0.0000
Ce 0.5000 0.0000 0.0000
Np 0.5000 0.5000 0.5000
P 0.0000 0.0000 0.0000
P 0.0000 0.5000 0.5000
P 0.5000 0.0000 0.5000
P 0.5000 0.5000 0.0000

***

No. 2
Entry from the Alexandria database: an optimized crystal structure of CeNpP2 (PBE).

Properties
* excess energy over the best structure of this formula in the dataset: 163.0 meV/atom
* DFT total energy: -33.76 eV for the cell shown

Unit cell a=7.2649 b=7.2649 c=7.2649 alpha=31.77 beta=31.77 gamma=31.77
Atoms (fractional coordinates):
Ce 0.0000 0.0000 0.0000
Np 0.8287 0.8287 0.8287
P 0.2425 0.2425 0.2425
P 0.4191 0.4191 0.4191

***

No. 3
Entry from the Alexandria database: an optimized crystal structure of Ce4NpP5 (PBE).

Properties
* DFT total energy: -77.36 eV for the cell shown

Unit cell a=7.0445 b=7.0445 c=7.0445 alpha=99.58 beta=99.58 gamma=131.84
Atoms (fractional coordinates):
Ce 0.0985 0.3000 0.3985
Ce 0.3000 0.9015 0.2015
Ce 0.7000 0.0985 0.7985
Ce 0.9015 0.7000 0.6015
Np 0.5000 0.5000 0.0000
P 0.0000 0.0000 0.0000
P 0.2048 0.5984 0.8031
P 0.4016 0.2048 0.6064
P 0.5984 0.7952 0.3936
P 0.7952 0.4016 0.1969

***

No. 4
Entry from the Alexandria database: an optimized crystal structure of CeNp2PaP4 (PBE).

Properties
* DFT total energy: -72.07 eV for the cell shown

Unit cell a=6.8940 b=4.0065 c=6.9453 alpha=90.00 beta=109.58 gamma=90.00
Atoms (fractional coordinates):
Ce 0.0000 0.0000 0.0000
Np 0.5000 0.0000 0.5000
Np 0.5000 0.5000 0.0000
Pa 0.0000 0.5000 0.5000
P 0.2527 0.0000 0.7464
P 0.2563 0.5000 0.2572
P 0.7437 0.5000 0.7428
P 0.7473 0.0000 0.2536

***

No. 5
Entry from the Alexandria database: an optimized crystal structure of Ce2NpPaP4 (PBE).

Properties
* DFT total energy: -66.32 eV for the cell shown

Unit cell a=6.9603 b=4.0251 c=6.9947 alpha=90.00 beta=109.44 gamma=90.00
Atoms (fractional coordinates):
Ce 0.0000 0.0000 0.0000
Ce 0.5000 0.5000 0.0000
Np 0.0000 0.5000 0.5000
Pa 0.5000 0.0000 0.5000
P 0.2474 0.0000 0.7397
P 0.2543 0.5000 0.2595
P 0.7457 0.5000 0.7405
P 0.7526 0.0000 0.2603

***

No. 6
Entry from the Alexandria database: an optimized crystal structure of CeNp3Pa2P6 (PBE).

Properties
* DFT total energy: -109.74 eV for the cell shown

Unit cell a=6.9235 b=6.9235 c=6.8755 alpha=99.66 beta=99.66 gamma=119.98
Atoms (fractional coordinates):
Ce 0.0000 0.0000 0.0000
Np 0.1648 0.8352 0.5000
Np 0.5000 0.5000 0.5000
Np 0.8352 0.1648 0.5000
Pa 0.3330 0.6670 0.0000
Pa 0.6670 0.3330 0.0000
P 0.0846 0.4233 0.2534
P 0.2548 0.2548 0.7479
P 0.4233 0.0846 0.2534
P 0.5767 0.9154 0.7466
P 0.7452 0.7452 0.2521
P 0.9154 0.5767 0.7466

***

No. 7
Entry from the Alexandria database: an optimized crystal structure of Ce3NpPa2P6 (PBE).

Properties
* DFT total energy: -98.25 eV for the cell shown

Unit cell a=9.0062 b=9.0062 c=8.0508 alpha=103.19 beta=103.19 gamma=25.80
Atoms (fractional coordinates):
Ce 0.0000 0.0000 0.0000
Ce 0.3334 0.3334 0.6662
Ce 0.6666 0.6666 0.3338
Np 0.0000 0.0000 0.5000
Pa 0.3340 0.3340 0.1682
Pa 0.6660 0.6660 0.8318
P 0.1648 0.1648 0.5887
P 0.1689 0.1689 0.0776
P 0.4978 0.4978 0.2554
P 0.5022 0.5022 0.7446
P 0.8311 0.8311 0.9224
P 0.8352 0.8352 0.4113

***

No. 8
Entry from the Alexandria database: an optimized crystal structure of Ce2PrNpP4 (PBE).

Properties
* DFT total energy: -61.82 eV for the cell shown

Unit cell a=7.0817 b=7.0817 c=7.0817 alpha=131.82 beta=131.82 gamma=70.51
Atoms (fractional coordinates):
Ce 0.0000 0.0000 0.0000
Ce 0.7500 0.2500 0.5000
Pr 0.2500 0.7500 0.5000
Np 0.5000 0.5000 0.0000
P 0.2543 0.2543 0.0000
P 0.5041 0.0041 0.5000
P 0.7457 0.7457 0.0000
P 0.9959 0.4959 0.5000

***

No. 9
Entry from the Alexandria database: an optimized crystal structure of Ce2PuNpP4 (PBE).

Properties
* DFT total energy: -70.84 eV for the cell shown

Unit cell a=6.9673 b=4.0401 c=7.0066 alpha=90.00 beta=109.52 gamma=90.00
Atoms (fractional coordinates):
Ce 0.0000 0.0000 0.0000
Ce 0.0000 0.5000 0.5000
Pu 0.5000 0.0000 0.5000
Np 0.5000 0.5000 0.0000
P 0.2591 0.5000 0.2511
P 0.2598 0.0000 0.7549
P 0.7402 0.0000 0.2451
P 0.7409 0.5000 0.7489

***

No. 10
Entry from the Alexandria database: an optimized crystal structure of CeNpP2Rh2 (PBE).

Properties
* DFT total energy: -50.60 eV for the cell shown

Unit cell a=4.1153 b=4.1153 c=7.6159 alpha=90.00 beta=90.00 gamma=120.00
Atoms (fractional coordinates):
Ce 0.0000 0.0000 0.0000
Np 0.0000 0.0000 0.5000
P 0.3333 0.6667 0.2362
P 0.6667 0.3333 0.7638
Rh 0.3333 0.6667 0.7192
Rh 0.6667 0.3333 0.2808

***

No. 11
Entry from the Alexandria database: an optimized crystal structure of Ce2NpP3Rh4 (PBE).

Properties
* DFT total energy: -79.92 eV for the cell shown

Unit cell a=4.0235 b=4.0235 c=11.0807 alpha=90.00 beta=90.00 gamma=90.00
Atoms (fractional coordinates):
Ce 0.0000 0.5000 0.2295
Ce 0.5000 0.0000 0.7705
Np 0.0000 0.0000 0.5000
P 0.0000 0.5000 0.8768
P 0.5000 0.0000 0.1232
P 0.5000 0.5000 0.5000
Rh 0.0000 0.0000 0.0000
Rh 0.0000 0.5000 0.6653
Rh 0.5000 0.0000 0.3347
Rh 0.5000 0.5000 0.0000

***

No. 12
Entry from the Alexandria database: an optimized crystal structure of Ce2NpP3Rh12 (PBE).

Properties
* DFT total energy: -136.97 eV for the cell shown

Unit cell a=6.7746 b=6.7746 c=6.7746 alpha=79.99 beta=79.99 gamma=79.99
Atoms (fractional coordinates):
Ce 0.1122 0.1122 0.1122
Ce 0.8878 0.8878 0.8878
Np 0.5000 0.5000 0.5000
P 0.0000 0.5000 0.5000
P 0.5000 0.0000 0.5000
P 0.5000 0.5000 0.0000
Rh 0.1471 0.6810 0.6810
Rh 0.1503 0.1503 0.5866
Rh 0.1503 0.5866 0.1503
Rh 0.3190 0.3190 0.8529
Rh 0.3190 0.8529 0.3190
Rh 0.4134 0.8497 0.8497
Rh 0.5866 0.1503 0.1503
Rh 0.6810 0.1471 0.6810
Rh 0.6810 0.6810 0.1471
Rh 0.8497 0.4134 0.8497
Rh 0.8497 0.8497 0.4134
Rh 0.8529 0.3190 0.3190